[1]
Material: Ba2BiAu
Method: DFT, PBE-GGA
State: relaxed

Cell and atoms, written as CIF:
```
data_Ba2BiAu
_symmetry_space_group_name_H-M 'P 1'
_symmetry_Int_Tables_number 1
_cell_length_a 5.007
_cell_length_b 5.007
_cell_length_c 8.504
_cell_angle_alpha 72.88
_cell_angle_beta 72.88
_cell_angle_gamma 60.00
loop_
_symmetry_equiv_pos_as_xyz
'x,y,z'
loop_
_atom_site_label
_atom_site_fract_x
_atom_site_fract_y
_atom_site_fract_z
Ba1 0.083 0.083 0.752
Ba2 0.252 0.252 0.245
Bi1 0.501 0.501 0.497
Au1 0.665 0.665 0.006
```

Computed properties:
Mass density   6.509 g/cm3
N(E_F)   0.04 states/eV/atom
Formation energy   -0.707 eV per atom



[2]
Material: Ba8BiAu2
Method: DFT, PBE-GGA
State: relaxed

Cell and atoms, written as CIF:
```
data_Ba8BiAu2
_symmetry_space_group_name_H-M 'P 1'
_symmetry_Int_Tables_number 1
_cell_length_a 7.627
_cell_length_b 8.963
_cell_length_c 8.963
_cell_angle_alpha 111.13
_cell_angle_beta 99.74
_cell_angle_gamma 99.74
loop_
_symmetry_equiv_pos_as_xyz
'x,y,z'
loop_
_atom_site_label
_atom_site_fract_x
_atom_site_fract_y
_atom_site_fract_z
Ba1 0.585 0.340 0.074
Ba2 0.585 0.074 0.340
Ba3 0.196 0.371 0.371
Ba4 0.962 0.209 0.786
Ba5 0.962 0.786 0.209
Ba6 0.787 0.648 0.648
Ba7 0.361 0.934 0.649
Ba8 0.361 0.649 0.934
Bi1 0.186 0.010 0.010
Au1 0.507 0.689 0.324
Au2 0.507 0.324 0.689
```

Computed properties:
Mass density   5.181 g/cm3
N(E_F)   1.33 states/eV/atom
Formation energy   -0.403 eV per atom



[3]
Material: Ba3Bi3Au2
Method: DFT, PBE-GGA
State: relaxed

Cell and atoms, written as CIF:
```
data_Ba3Bi3Au2
_symmetry_space_group_name_H-M 'P 1'
_symmetry_Int_Tables_number 1
_cell_length_a 5.027
_cell_length_b 6.892
_cell_length_c 17.286
_cell_angle_alpha 90.00
_cell_angle_beta 90.00
_cell_angle_gamma 111.39
loop_
_symmetry_equiv_pos_as_xyz
'x,y,z'
loop_
_atom_site_label
_atom_site_fract_x
_atom_site_fract_y
_atom_site_fract_z
Ba1 0.915 0.830 0.396
Ba2 0.085 0.170 0.896
Ba3 0.915 0.830 0.104
Ba4 0.085 0.170 0.604
Ba5 0.646 0.291 0.250
Ba6 0.354 0.709 0.750
Bi1 0.634 0.269 0.459
Bi2 0.366 0.731 0.959
Bi3 0.634 0.269 0.041
Bi4 0.366 0.731 0.541
Bi5 0.348 0.696 0.250
Bi6 0.652 0.304 0.750
Au1 0.784 0.568 0.895
Au2 0.216 0.432 0.395
Au3 0.784 0.568 0.605
Au4 0.216 0.432 0.105
```

Computed properties:
Mass density   8.534 g/cm3
N(E_F)   0.43 states/eV/atom
Formation energy   -0.746 eV per atom



[4]
Material: BaBi2Au2
Method: DFT, PBE-GGA
State: relaxed

Cell and atoms, written as CIF:
```
data_BaBi2Au2
_symmetry_space_group_name_H-M 'P 1'
_symmetry_Int_Tables_number 1
_cell_length_a 8.507
_cell_length_b 8.507
_cell_length_c 3.937
_cell_angle_alpha 90.00
_cell_angle_beta 90.00
_cell_angle_gamma 90.00
loop_
_symmetry_equiv_pos_as_xyz
'x,y,z'
loop_
_atom_site_label
_atom_site_fract_x
_atom_site_fract_y
_atom_site_fract_z
Au1 0.382 0.882 0.000
Au2 0.882 0.618 0.000
Au3 0.618 0.118 0.000
Au4 0.118 0.382 0.000
Bi1 0.183 0.683 0.500
Bi2 0.683 0.817 0.500
Bi3 0.817 0.317 0.500
Bi4 0.317 0.183 0.500
Ba1 0.000 0.000 0.000
Ba2 0.500 0.500 0.000
```

Computed properties:
Mass density   11.067 g/cm3
N(E_F)   0.66 states/eV/atom
Formation energy   -0.329 eV per atom



[5]
Material: BaBiAu3
Method: DFT, PBE-GGA
State: relaxed

Cell and atoms, written as CIF:
```
data_BaBiAu3
_symmetry_space_group_name_H-M 'P 1'
_symmetry_Int_Tables_number 1
_cell_length_a 5.526
_cell_length_b 5.526
_cell_length_c 5.526
_cell_angle_alpha 90.00
_cell_angle_beta 90.00
_cell_angle_gamma 90.00
loop_
_symmetry_equiv_pos_as_xyz
'x,y,z'
loop_
_atom_site_label
_atom_site_fract_x
_atom_site_fract_y
_atom_site_fract_z
Au1 0.000 0.500 0.000
Au2 0.000 0.000 0.500
Au3 0.500 0.000 0.000
Bi1 0.000 0.000 0.000
Ba1 0.500 0.500 0.500
```

Computed properties:
E above lowest polymorph   277.6 meV/atom
Mass density   9.224 g/cm3
N(E_F)   0.77 states/eV/atom
Formation energy   -0.188 eV per atom



[6]
Material: BaBi2Au3
Method: DFT, PBE-GGA
State: relaxed

Cell and atoms, written as CIF:
```
data_BaBi2Au3
_symmetry_space_group_name_H-M 'P 1'
_symmetry_Int_Tables_number 1
_cell_length_a 6.948
_cell_length_b 7.135
_cell_length_c 7.135
_cell_angle_alpha 99.05
_cell_angle_beta 90.00
_cell_angle_gamma 90.00
loop_
_symmetry_equiv_pos_as_xyz
'x,y,z'
loop_
_atom_site_label
_atom_site_fract_x
_atom_site_fract_y
_atom_site_fract_z
Ba1 0.750 0.312 0.312
Ba2 0.250 0.688 0.688
Bi1 0.000 0.794 0.206
Bi2 0.500 0.206 0.794
Bi3 0.000 0.206 0.794
Bi4 0.500 0.794 0.206
Au1 0.750 0.922 0.922
Au2 0.250 0.078 0.078
Au3 0.750 0.797 0.533
Au4 0.250 0.203 0.467
Au5 0.750 0.533 0.797
Au6 0.250 0.467 0.203
```

Computed properties:
Mass density   10.897 g/cm3
N(E_F)   0.48 states/eV/atom
Formation energy   -0.369 eV per atom



[7]
Material: BaBiAu4
Method: DFT, PBE-GGA
State: relaxed

Cell and atoms, written as CIF:
```
data_BaBiAu4
_symmetry_space_group_name_H-M 'P 1'
_symmetry_Int_Tables_number 1
_cell_length_a 5.398
_cell_length_b 6.085
_cell_length_c 6.085
_cell_angle_alpha 78.42
_cell_angle_beta 63.37
_cell_angle_gamma 63.37
loop_
_symmetry_equiv_pos_as_xyz
'x,y,z'
loop_
_atom_site_label
_atom_site_fract_x
_atom_site_fract_y
_atom_site_fract_z
Ba1 0.961 0.503 0.499
Bi1 0.708 0.003 0.999
Au1 0.652 0.121 0.498
Au2 0.269 0.884 0.499
Au3 0.269 0.503 0.880
Au4 0.652 0.502 0.117
```

Computed properties:
E above lowest polymorph   36.0 meV/atom
Mass density   11.790 g/cm3
N(E_F)   0.43 states/eV/atom
Formation energy   -0.337 eV per atom



[8]
Material: BaBi2Au2
Method: DFT, PBE-GGA
State: relaxed

Cell and atoms, written as CIF:
```
data_BaBi2Au2
_symmetry_space_group_name_H-M 'P 1'
_symmetry_Int_Tables_number 1
_cell_length_a 8.794
_cell_length_b 8.794
_cell_length_c 3.708
_cell_angle_alpha 90.00
_cell_angle_beta 90.00
_cell_angle_gamma 90.00
loop_
_symmetry_equiv_pos_as_xyz
'x,y,z'
loop_
_atom_site_label
_atom_site_fract_x
_atom_site_fract_y
_atom_site_fract_z
Au1 0.168 0.668 0.500
Au2 0.668 0.832 0.500
Au3 0.832 0.332 0.500
Au4 0.332 0.168 0.500
Bi1 0.369 0.869 0.000
Bi2 0.869 0.631 0.000
Bi3 0.631 0.131 0.000
Bi4 0.131 0.369 0.000
Ba1 0.000 0.000 0.000
Ba2 0.500 0.500 0.000
```

Computed properties:
Mass density   10.995 g/cm3
N(E_F)   0.41 states/eV/atom
Formation energy   -0.242 eV per atom



[9]
Material: BaBi2Au2
Method: DFT, PBE-GGA
State: relaxed

Cell and atoms, written as CIF:
```
data_BaBi2Au2
_symmetry_space_group_name_H-M 'P 1'
_symmetry_Int_Tables_number 1
_cell_length_a 5.264
_cell_length_b 5.264
_cell_length_c 6.726
_cell_angle_alpha 66.96
_cell_angle_beta 66.96
_cell_angle_gamma 90.00
loop_
_symmetry_equiv_pos_as_xyz
'x,y,z'
loop_
_atom_site_label
_atom_site_fract_x
_atom_site_fract_y
_atom_site_fract_z
Au1 0.750 0.250 0.500
Au2 0.250 0.750 0.500
Bi1 0.363 0.363 0.275
Bi2 0.637 0.637 0.725
Ba1 0.000 0.000 0.000
```

Computed properties:
Mass density   10.154 g/cm3
N(E_F)   0.21 states/eV/atom
Formation energy   -0.430 eV per atom



[10]
Material: Ba2BiAu
Method: DFT, PBE-GGA
State: relaxed

Cell and atoms, written as CIF:
```
data_Ba2BiAu
_symmetry_space_group_name_H-M 'P 1'
_symmetry_Int_Tables_number 1
_cell_length_a 4.273
_cell_length_b 5.924
_cell_length_c 5.924
_cell_angle_alpha 90.00
_cell_angle_beta 90.00
_cell_angle_gamma 90.00
loop_
_symmetry_equiv_pos_as_xyz
'x,y,z'
loop_
_atom_site_label
_atom_site_fract_x
_atom_site_fract_y
_atom_site_fract_z
Au1 0.500 0.000 0.000
Bi1 0.500 0.500 0.500
Ba1 0.000 0.000 0.500
Ba2 0.000 0.500 0.000
```

Computed properties:
Mass density   7.537 g/cm3
N(E_F)   0.43 states/eV/atom
Formation energy   -0.787 eV per atom



Question: The highest N(E_F) belongs to which entry?
Answer: Ba8BiAu2